[1]
KCd2Bi2Au: optimized geometry, PBE.

```
KCd2Bi2Au
1.0
5.347 0.000 0.000
0.000 7.423 0.000
0.000 0.000 9.759
Cd Bi Au K
4 4 2 2
Direct
0.500 0.200 0.315
0.500 0.800 0.685
0.000 0.700 0.185
0.000 0.300 0.815
0.500 0.784 0.310
0.000 0.284 0.190
0.000 0.716 0.810
0.500 0.216 0.690
0.000 0.000 0.000
0.500 0.500 0.500
0.500 0.500 0.000
0.000 0.000 0.500
```

Values from the calculation:
Energy relative to the elements = -69 kJ/mol of formula units
Raw total energy = -2.4473 eV per atom
Total magnetization = 0.00 Bohr magnetons per cell
Density = 7.535 Mg/m³
SG = Pnnm, No. 58

---

[2]
AsRu2Pb: optimized geometry, PBE.

```
AsRu2Pb
1.0
0.877 2.252 3.874
-3.412 1.083 2.834
-0.393 -2.131 4.019
As Pb Ru
1 1 2
Direct
0.000 0.000 0.000
0.500 0.500 0.500
0.250 0.250 0.250
0.750 0.750 0.750
```

Values from the calculation:
Excess energy over the best structure of this formula in the dataset = 4.06 kcal/mol of atoms
Energy relative to the elements = 143 kJ/mol of formula units
Raw total energy = -6.3565 eV per atom
Total magnetization = 0.00 Bohr magnetons per cell
Density = 11.947 Mg/m³
SG = Fm-3m, No. 225

---

[3]
TaAg2Br: optimized geometry, PBE.

```
TaAg2Br
1.0
0.000 3.443 3.443
3.443 0.000 3.443
3.443 3.443 0.000
Ag Ta Br
2 1 1
Direct
0.750 0.750 0.750
0.250 0.250 0.250
0.500 0.500 0.500
0.000 0.000 0.000
```

Values from the calculation:
Excess energy over the best structure of this formula in the dataset = 20.65 kcal/mol of atoms
Raw total energy = -3.6997 eV per atom
Formation energy from raw total energies = 1.107 eV/atom
Total magnetization = 1.62 Bohr magnetons per cell
Density = 9.694 Mg/m³
SG = Fm-3m, No. 225

---

[4]
Ac4BiSb5: optimized geometry, PBE.

```
Ac4BiSb5
1.0
4.761 0.000 0.000
0.000 4.761 0.000
-2.381 -2.381 16.856
Ac Bi Sb
4 1 5
Direct
0.599 0.599 0.197
0.801 0.801 0.601
0.401 0.401 0.803
0.199 0.199 0.399
0.000 0.000 0.000
0.700 0.700 0.400
0.500 0.500 0.000
0.902 0.902 0.804
0.098 0.098 0.196
0.300 0.300 0.600
```

Values from the calculation:
Excess energy over the best structure of this formula in the dataset = 0.27 kcal/mol of atoms
Raw total energy = -5.0074 eV per atom
Formation energy from raw total energies = -0.915 eV/atom
Total magnetization = 0.00 Bohr magnetons per cell
Density = 7.499 Mg/m³
SG = I4/mmm, No. 139

---

[5]
BaGaGePt3: optimized geometry, PBE.

```
BaGaGePt3
1.0
5.887 0.000 0.000
0.000 6.950 0.000
0.000 -3.475 6.896
Pt Ga Ba Ge
6 2 2 2
Direct
0.750 0.771 0.543
0.250 0.229 0.457
0.000 0.283 0.000
0.500 0.717 0.000
0.000 0.717 0.000
0.500 0.283 0.000
0.750 0.951 0.903
0.250 0.049 0.097
0.250 0.743 0.486
0.750 0.257 0.514
0.250 0.404 0.808
0.750 0.596 0.192
```

Values from the calculation:
Energy relative to the elements = -382 kJ/mol of formula units
Raw total energy = -5.2753 eV per atom
Total magnetization = 0.00 Bohr magnetons per cell
Density = 10.181 Mg/m³
SG = Cmcm, No. 63

---

[6]
Ti6InSn3: optimized geometry, PBE.

```
Ti6InSn3
1.0
6.983 0.000 0.000
0.000 8.014 -0.956
0.000 -2.720 7.598
Ti Sn In
12 6 2
Direct
0.530 0.264 0.736
0.302 0.945 0.055
0.807 0.437 0.998
0.802 0.055 0.945
0.307 0.998 0.437
0.102 0.770 0.607
0.102 0.393 0.230
0.602 0.607 0.770
0.307 0.563 0.002
0.030 0.736 0.264
0.807 0.002 0.563
0.602 0.230 0.393
0.258 0.419 0.581
0.477 0.897 0.700
0.977 0.103 0.300
0.758 0.581 0.419
0.477 0.300 0.103
0.977 0.700 0.897
0.623 0.819 0.181
0.123 0.181 0.819
```

Values from the calculation:
Energy relative to the elements = -103 kJ/mol of formula units
Raw total energy = -6.3185 eV per atom
Total magnetization = 0.00 Bohr magnetons per cell
Density = 6.186 Mg/m³
SG = Cmc2_1, No. 36

---

[7]
P3RhO9: optimized geometry, PBE.

```
P3RhO9
1.0
6.033 0.000 2.539
2.690 6.571 2.047
0.039 0.000 8.346
O Rh P
18 2 6
Direct
0.111 0.724 0.823
0.917 0.270 0.176
0.883 0.446 0.833
0.341 0.224 0.323
0.439 0.801 0.407
0.675 0.418 0.653
0.755 0.047 0.797
0.255 0.918 0.153
0.637 0.770 0.676
0.160 0.061 0.673
0.025 0.519 0.502
0.837 0.946 0.333
0.954 0.019 0.002
0.354 0.301 0.907
0.515 0.220 0.585
0.680 0.720 0.085
0.105 0.561 0.173
0.401 0.547 0.297
0.009 0.501 0.997
0.493 0.001 0.497
0.977 0.049 0.175
0.015 0.952 0.818
0.557 0.250 0.739
0.215 0.452 0.318
0.800 0.549 0.675
0.455 0.750 0.239
```

Values from the calculation:
Excess energy over the best structure of this formula in the dataset = 0.16 kcal/mol of atoms
Raw total energy = -7.0344 eV per atom
Formation energy from raw total energies = -1.788 eV/atom
Total magnetization = 0.00 Bohr magnetons per cell
Density = 3.418 Mg/m³
SG = Cc, No. 9

---

[8]
Sr2TlZn: optimized geometry, PBE.

```
Sr2TlZn
1.0
-1.059 -5.474 1.104
0.882 -2.068 5.220
-4.420 -1.436 3.272
Sr Tl Zn
2 1 1
Direct
0.500 0.500 0.500
0.000 0.000 0.000
0.250 0.250 0.250
0.750 0.750 0.750
```

Values from the calculation:
Energy relative to the elements = -120 kJ/mol of formula units
Raw total energy = -2.0618 eV per atom
Total magnetization = 0.00 Bohr magnetons per cell
Density = 5.693 Mg/m³
SG = Fm-3m, No. 225

---

[9]
Ac4Pr15Ho: optimized geometry, PBE.

```
Ac4Pr15Ho
1.0
5.323 0.000 0.000
0.000 5.323 0.000
0.000 0.000 26.514
Pr Ac Ho
15 4 1
Direct
0.000 0.500 0.905
0.500 0.500 0.601
0.500 0.000 0.500
0.500 0.500 0.196
0.000 0.500 0.298
0.500 0.000 0.298
0.000 0.500 0.095
0.500 0.500 0.000
0.500 0.500 0.804
0.500 0.000 0.905
0.500 0.500 0.399
0.000 0.500 0.702
0.500 0.000 0.095
0.500 0.000 0.702
0.000 0.500 0.500
0.000 0.000 0.197
0.000 0.000 0.803
0.000 0.000 0.399
0.000 0.000 0.601
0.000 0.000 0.000
```

Values from the calculation:
Energy relative to the elements = 42 kJ/mol of formula units
Raw total energy = -4.6135 eV per atom
Total magnetization = 0.00 Bohr magnetons per cell
Density = 7.044 Mg/m³
SG = P4/mmm, No. 123

---

[10]
ThMgBi3: optimized geometry, PBE.

```
ThMgBi3
1.0
-1.027 -0.507 -6.388
5.647 -3.261 -0.649
-6.807 -12.198 2.062
Th Mg Bi
4 4 12
Direct
0.250 0.499 0.317
0.750 0.501 0.683
0.250 0.999 0.683
0.750 0.001 0.317
0.000 0.750 0.895
0.500 0.250 0.105
0.000 0.250 0.105
0.500 0.750 0.895
0.750 0.998 0.735
0.750 0.498 0.265
0.750 0.353 0.919
0.000 0.750 0.500
0.250 0.502 0.735
0.000 0.250 0.500
0.250 0.002 0.265
0.250 0.147 0.919
0.250 0.647 0.081
0.500 0.750 0.500
0.500 0.250 0.500
0.750 0.853 0.081
```

Values from the calculation:
Energy relative to the elements = -160 kJ/mol of formula units
Raw total energy = -4.4640 eV per atom
Total magnetization = 0.00 Bohr magnetons per cell
Density = 9.769 Mg/m³
SG = Pbcm, No. 57

---

[11]
Rb3Th2AgSe6: optimized geometry, PBE.

```
Rb3Th2AgSe6
1.0
7.565 -0.033 0.016
-3.809 6.536 0.016
-1.236 -2.140 7.986
Th Rb Se Ag
2 3 6 1
Direct
0.332 0.668 0.000
0.668 0.332 0.000
0.842 0.158 0.500
0.500 0.500 0.500
0.158 0.842 0.500
0.066 0.420 0.203
0.580 0.934 0.797
0.934 0.580 0.797
0.722 0.722 0.194
0.278 0.278 0.806
0.420 0.066 0.203
0.000 0.000 0.000
```

Values from the calculation:
Raw total energy = -4.8475 eV per atom
Formation energy from raw total energies = -1.389 eV/atom
Total magnetization = 0.00 Bohr magnetons per cell
Density = 5.481 Mg/m³
SG = C2/m, No. 12

---

[12]
Ac3Pr2Tl2: optimized geometry, PBE.

```
Ac3Pr2Tl2
1.0
-2.241 -4.361 -1.226
3.418 -1.612 -0.513
-0.942 -5.836 12.065
Ac Tl Pr
3 2 2
Direct
0.000 0.000 0.000
0.143 0.000 0.715
0.857 0.000 0.285
0.575 0.500 0.850
0.425 0.500 0.150
0.287 0.500 0.426
0.713 0.500 0.574
```

Values from the calculation:
Energy relative to the elements = -61 kJ/mol of formula units
Raw total energy = -3.8923 eV per atom
Total magnetization = 0.00 Bohr magnetons per cell
Density = 8.956 Mg/m³
SG = Cmmm, No. 65

---

[13]
La6Pm5Dy: optimized geometry, PBE.

```
La6Pm5Dy
1.0
9.664 0.687 -1.033
3.708 5.059 -1.036
0.919 1.259 8.901
La Pm Dy
6 5 1
Direct
0.750 0.415 0.668
0.249 0.917 0.668
0.751 0.083 0.332
0.248 0.252 0.000
0.250 0.585 0.332
0.752 0.748 0.000
0.000 0.333 0.332
0.500 0.166 0.667
0.500 0.500 0.000
0.500 0.834 0.333
0.000 0.667 0.668
0.000 0.000 0.000
```

Values from the calculation:
Energy relative to the elements = 19 kJ/mol of formula units
Raw total energy = -4.8106 eV per atom
Total magnetization = 0.00 Bohr magnetons per cell
Density = 6.733 Mg/m³
SG = P-1, No. 2

---

[14]
RbTiCd2Ge: optimized geometry, PBE.

```
RbTiCd2Ge
1.0
5.442 0.000 0.000
0.000 5.995 0.000
0.000 0.000 5.442
Cd Rb Ge Ti
2 1 1 1
Direct
0.000 0.000 0.500
0.500 0.000 0.000
0.000 0.500 0.000
0.500 0.500 0.500
0.000 0.000 0.000
```

Values from the calculation:
Energy relative to the elements = 503 kJ/mol of formula units
Raw total energy = -2.0201 eV per atom
Total magnetization = 1.84 Bohr magnetons per cell
Density = 4.029 Mg/m³
SG = P4/mmm, No. 123

---

[15]
Li5MgIn: optimized geometry, PBE.

```
Li5MgIn
1.0
-2.991 4.252 -2.393
-5.652 -0.573 -0.685
-6.750 6.116 6.759
Li Mg In
10 2 2
Direct
0.401 0.164 0.740
0.294 0.353 0.498
0.706 0.647 0.502
0.353 0.294 0.998
0.836 0.599 0.760
0.599 0.836 0.260
0.820 0.180 0.750
0.164 0.401 0.240
0.180 0.820 0.250
0.647 0.706 0.002
0.722 0.278 0.250
0.278 0.722 0.750
0.000 0.000 0.500
0.000 0.000 0.000
```

Values from the calculation:
Excess energy over the best structure of this formula in the dataset = 0.00 kcal/mol of atoms
Energy relative to the elements = -45 kJ/mol of formula units
Raw total energy = -2.0526 eV per atom
Total magnetization = 0.00 Bohr magnetons per cell
Density = 2.114 Mg/m³
SG = C2/c, No. 15

---

[16]
Na2Al2CdAu5: optimized geometry, PBE.

```
Na2Al2CdAu5
1.0
-2.050 0.761 2.394
-7.865 -6.373 -4.708
3.601 -8.784 5.875
Cd Na Au Al
2 4 10 4
Direct
0.000 0.000 0.000
0.000 0.500 0.500
0.000 0.828 0.672
0.000 0.672 0.172
0.000 0.328 0.828
0.000 0.172 0.328
0.500 0.799 0.931
0.500 0.931 0.201
0.500 0.569 0.701
0.500 0.431 0.299
0.500 0.201 0.069
0.500 0.000 0.500
0.500 0.299 0.569
0.500 0.701 0.431
0.500 0.069 0.799
0.500 0.500 0.000
0.000 0.370 0.130
0.000 0.130 0.630
0.000 0.630 0.870
0.000 0.870 0.370
```

Values from the calculation:
Energy relative to the elements = -331 kJ/mol of formula units
Raw total energy = -3.0858 eV per atom
Total magnetization = 0.00 Bohr magnetons per cell
Density = 9.838 Mg/m³
SG = P4/mbm, No. 127

---

[17]
La7Pr2Dy2: optimized geometry, PBE.

```
La7Pr2Dy2
1.0
5.880 -1.409 -1.610
-2.008 8.675 1.050
-2.008 -0.113 8.738
Dy Pr La
2 2 7
Direct
0.000 0.785 0.215
0.000 0.215 0.785
0.639 0.773 0.773
0.361 0.227 0.227
0.500 0.000 0.000
0.311 0.047 0.584
0.849 0.576 0.576
0.689 0.953 0.416
0.689 0.416 0.953
0.151 0.424 0.424
0.311 0.584 0.047
```

Values from the calculation:
Excess energy over the best structure of this formula in the dataset = 0.45 kcal/mol of atoms
Energy relative to the elements = 117 kJ/mol of formula units
Raw total energy = -4.7307 eV per atom
Total magnetization = 0.00 Bohr magnetons per cell
Density = 6.618 Mg/m³
SG = C2/m, No. 12

---

[18]
TlCo2P: optimized geometry, PBE.

```
TlCo2P
1.0
-3.880 -0.398 -0.991
-0.729 -1.083 3.289
-1.175 4.072 2.965
P Co Tl
1 2 1
Direct
0.000 0.255 0.368
0.500 0.334 0.208
0.000 0.868 0.138
0.500 0.043 0.786
```

Values from the calculation:
Energy relative to the elements = 55 kJ/mol of formula units
Raw total energy = -5.3541 eV per atom
Total magnetization = 0.00 Bohr magnetons per cell
Density = 8.465 Mg/m³
SG = Pm, No. 6

---

[19]
MgIr2Br: optimized geometry, PBE.

```
MgIr2Br
1.0
3.764 0.000 0.000
0.000 3.764 0.000
1.882 1.882 10.480
Ir Mg Br
4 2 2
Direct
0.156 0.625 0.250
0.594 0.125 0.250
0.875 0.844 0.750
0.375 0.406 0.750
0.500 0.500 0.000
0.250 0.750 0.500
0.750 0.250 0.500
0.000 0.000 0.000
```

Values from the calculation:
Excess energy over the best structure of this formula in the dataset = 7.91 kcal/mol of atoms
Raw total energy = -4.8013 eV per atom
Formation energy from raw total energies = 0.446 eV/atom
Total magnetization = 0.86 Bohr magnetons per cell
Density = 10.931 Mg/m³
SG = I-42d, No. 122

---

[20]
Mg2HPt: optimized geometry, PBE.

```
Mg2HPt
1.0
-0.735 -2.833 0.967
2.178 -1.846 1.161
-0.763 0.886 6.929
Mg Pt H
2 1 1
Direct
0.266 0.266 0.203
0.734 0.734 0.797
0.500 0.500 0.500
0.000 0.000 0.000
```

Values from the calculation:
Excess energy over the best structure of this formula in the dataset = 0.95 kcal/mol of atoms
Raw total energy = -3.4131 eV per atom
Total magnetization = 0.00 Bohr magnetons per cell
Density = 7.265 Mg/m³
SG = R-3m, No. 166